# SnBiN2F

An optimized crystal structure of SnBiN2F (PBEsol, Alexandria via LeMat-Bulk).

POSCAR file:
```
SnBiN2F
1.0
4.1808 0.0000 0.0000
0.0000 4.1808 0.0000
0.0000 0.0000 4.0410
Sn Bi N F
1 1 2 1
direct
0.0000 0.0000 0.0000
0.5000 0.5000 0.5000
0.0000 0.5000 0.0000
0.5000 0.0000 0.0000
0.0000 0.0000 0.5000
```

Calculated values
Its uncorrected energy is -27.45 eV per cell. As for the crystal system: tetragonal. The calculation puts the density of states at the Fermi level at 0.7 states/eV/cell. Its space group is P4/mmm, No. 123.


# LiZrPd2

An optimized crystal structure of LiZrPd2 (PBEsol, Alexandria via LeMat-Bulk).

POSCAR file:
```
LiZrPd2
1.0
6.3400 0.0000 0.0000
0.0000 6.3400 0.0000
0.0000 0.0000 6.3400
Li Zr Pd
4 4 8
direct
0.0000 0.0000 0.0000
0.0000 0.5000 0.5000
0.5000 0.0000 0.5000
0.5000 0.5000 0.0000
0.0000 0.0000 0.5000
0.0000 0.5000 0.0000
0.5000 0.0000 0.0000
0.5000 0.5000 0.5000
0.2500 0.2500 0.2500
0.2500 0.2500 0.7500
0.2500 0.7500 0.2500
0.2500 0.7500 0.7500
0.7500 0.2500 0.2500
0.7500 0.2500 0.7500
0.7500 0.7500 0.2500
0.7500 0.7500 0.7500
```

Calculated values
The formation energy comes out at -0.56 eV per atom. As for the crystal system: cubic. The calculation puts the density of states at the Fermi level at 10.3 states/eV/cell. Its space group is Fm-3m, No. 225.


# ZnOs2W

An optimized crystal structure of ZnOs2W (PBEsol, Alexandria via LeMat-Bulk).

POSCAR file:
```
ZnOs2W
1.0
2.7622 0.0000 0.0000
-1.3811 2.3921 0.0000
0.0000 0.0000 26.1137
Zn Os W
3 6 3
direct
0.0000 0.0000 0.0000
0.3333 0.6667 0.6667
0.6667 0.3333 0.3333
0.0000 0.0000 0.2499
0.0000 0.0000 0.7501
0.3333 0.6667 0.4168
0.3333 0.6667 0.9166
0.6667 0.3333 0.0834
0.6667 0.3333 0.5832
0.0000 0.0000 0.5000
0.3333 0.6667 0.1667
0.6667 0.3333 0.8333
```

Calculated values
The formation energy comes out at 0.14 eV per atom. As for the crystal system: trigonal. The calculation puts the density of states at the Fermi level at 6.9 states/eV/cell. Its space group is R-3m, No. 166.


# KScTe2N

An optimized crystal structure of KScTe2N (PBEsol, Alexandria via LeMat-Bulk).

POSCAR file:
```
KScTe2N
1.0
5.8088 0.0000 0.0000
0.0000 5.8088 0.0000
0.0000 0.0000 4.4891
K Sc Te N
1 1 2 1
direct
0.0000 0.0000 0.0000
0.5000 0.5000 0.5000
0.0000 0.5000 0.0000
0.5000 0.0000 0.0000
0.0000 0.0000 0.5000
```

Calculated values
As for the crystal system: tetragonal. The calculation puts the density of states at the Fermi level at 2.9 states/eV/cell. The calculation puts the polymorph energy (0 for the lowest one) at 686 kJ/mol of formula units. Its space group is P4/mmm, No. 123.


# MoPt3

An optimized crystal structure of MoPt3 (PBEsol, Alexandria via LeMat-Bulk).

POSCAR file:
```
MoPt3
1.0
9.2074 0.0000 0.0000
0.0000 2.7498 0.0000
-0.8186 0.0000 4.7078
Mo Pt
2 6
direct
0.0000 0.0000 0.0000
0.5000 0.5000 0.0000
0.0000 0.5000 0.5000
0.2474 0.5000 0.2437
0.2526 0.0000 0.7563
0.5000 0.0000 0.5000
0.7474 0.0000 0.2437
0.7526 0.5000 0.7563
```

Calculated values
The formation energy comes out at -0.25 eV per atom. As for the crystal system: monoclinic. The calculation puts the density of states at the Fermi level at 7.0 states/eV/cell. Its space group is C2/m, No. 12.


# NaCa2ZnRh

An optimized crystal structure of NaCa2ZnRh (PBEsol, Alexandria via LeMat-Bulk).

POSCAR file:
```
NaCa2ZnRh
1.0
5.3987 0.0000 0.0000
0.0000 5.3987 0.0000
0.0000 0.0000 4.8437
Na Ca Zn Rh
1 2 1 1
direct
0.0000 0.0000 0.0000
0.0000 0.5000 0.5000
0.5000 0.0000 0.5000
0.5000 0.5000 0.0000
0.5000 0.5000 0.5000
```

Calculated values
The formation energy comes out at -0.11 eV per atom. As for the crystal system: tetragonal. The calculation puts the density of states at the Fermi level at 2.6 states/eV/cell. Its space group is P4/mmm, No. 123.


# CaInAu2

An optimized crystal structure of CaInAu2 (PBEsol, Alexandria via LeMat-Bulk).

POSCAR file:
```
CaInAu2
1.0
3.6850 0.0000 0.0000
0.0000 3.6850 0.0000
0.0000 0.0000 6.3015
Ca In Au
1 1 2
direct
0.0000 0.0000 0.0000
0.5000 0.5000 0.3260
0.0000 0.0000 0.5134
0.5000 0.5000 0.7702
```

Calculated values
The formation energy comes out at -0.44 eV per atom. As for the crystal system: tetragonal. The calculation puts the density of states at the Fermi level at 1.8 states/eV/cell. Its space group is P4mm, No. 99.


# LiSbSe2

An optimized crystal structure of LiSbSe2 (PBEsol, Alexandria via LeMat-Bulk).

POSCAR file:
```
LiSbSe2
1.0
4.0052 0.0000 0.0000
-2.0026 3.4686 0.0000
0.0000 0.0000 19.3374
Li Sb Se
3 3 6
direct
0.0000 0.0000 0.0000
0.3333 0.6667 0.6667
0.6667 0.3333 0.3333
0.0000 0.0000 0.5000
0.3333 0.6667 0.1667
0.6667 0.3333 0.8333
0.0000 0.0000 0.2539
0.0000 0.0000 0.7461
0.3333 0.6667 0.4127
0.3333 0.6667 0.9206
0.6667 0.3333 0.0794
0.6667 0.3333 0.5873
```

Calculated values
Its uncorrected energy is -50.46 eV per cell. As for the crystal system: trigonal. Its space group is R-3m, No. 166.


# TlTeRu2

An optimized crystal structure of TlTeRu2 (PBEsol, Alexandria via LeMat-Bulk).

POSCAR file:
```
TlTeRu2
1.0
3.1652 0.0000 0.0000
0.0000 3.1652 0.0000
0.0000 0.0000 6.8820
Tl Te Ru
1 1 2
direct
0.0000 0.0000 0.0000
0.0000 0.0000 0.5000
0.5000 0.5000 0.2771
0.5000 0.5000 0.7229
```

Calculated values
As for the crystal system: tetragonal. The calculation puts the density of states at the Fermi level at 3.3 states/eV/cell. The calculation puts the polymorph energy (0 for the lowest one) at 0 kJ/mol of formula units. Its space group is P4/mmm, No. 123.


# Zr2ScPd2

An optimized crystal structure of Zr2ScPd2 (PBEsol, Alexandria via LeMat-Bulk).

POSCAR file:
```
Zr2ScPd2
1.0
7.5876 0.0000 0.0000
0.0000 7.5876 0.0000
0.0000 0.0000 3.3316
Zr Sc Pd
4 2 4
direct
0.1711 0.3289 0.0000
0.3289 0.8289 0.0000
0.6711 0.1711 0.0000
0.8289 0.6711 0.0000
0.0000 0.0000 0.5000
0.5000 0.5000 0.5000
0.1275 0.6275 0.5000
0.3725 0.1275 0.5000
0.6275 0.8725 0.5000
0.8725 0.3725 0.5000
```

Calculated values
The formation energy comes out at -0.57 eV per atom. As for the crystal system: tetragonal. The calculation puts the density of states at the Fermi level at 9.7 states/eV/cell. Its space group is P4/mbm, No. 127.


# CoW2Au

An optimized crystal structure of CoW2Au (PBEsol, Alexandria via LeMat-Bulk).

POSCAR file:
```
CoW2Au
1.0
3.2645 0.0000 0.0000
0.0000 3.2645 0.0000
0.0000 0.0000 5.5460
Co W Au
1 2 1
direct
0.0000 0.0000 0.0000
0.5000 0.5000 0.2128
0.5000 0.5000 0.7872
0.0000 0.0000 0.5000
```

Calculated values
The formation energy comes out at 0.41 eV per atom. As for the crystal system: tetragonal. The calculation puts the density of states at the Fermi level at 4.4 states/eV/cell. The calculation puts the polymorph energy (0 for the lowest one) at 77 kJ/mol of formula units. Its space group is P4/mmm, No. 123.


# CaTl2Pb

An optimized crystal structure of CaTl2Pb (PBEsol, Alexandria via LeMat-Bulk).

POSCAR file:
```
CaTl2Pb
1.0
4.7406 0.0000 0.0000
0.0000 4.7406 0.0000
0.0000 0.0000 9.7925
Ca Tl Pb
2 4 2
direct
0.0000 0.0000 0.0000
0.5000 0.5000 0.5000
0.0000 0.5000 0.2500
0.0000 0.5000 0.7500
0.5000 0.0000 0.2500
0.5000 0.0000 0.7500
0.0000 0.0000 0.5000
0.5000 0.5000 0.0000
```

Calculated values
The formation energy comes out at -0.30 eV per atom. As for the crystal system: tetragonal. The calculation puts the density of states at the Fermi level at 3.7 states/eV/cell. Its space group is I4/mmm, No. 139.


# ZrSbI2N

An optimized crystal structure of ZrSbI2N (PBEsol, Alexandria via LeMat-Bulk).

POSCAR file:
```
ZrSbI2N
1.0
6.0012 0.0000 0.0000
0.0000 6.0012 0.0000
0.0000 0.0000 3.8956
Zr Sb I N
1 1 2 1
direct
0.0000 0.0000 0.0000
0.5000 0.5000 0.5000
0.0000 0.5000 0.5000
0.5000 0.0000 0.5000
0.5000 0.5000 0.0000
```

Calculated values
As for the crystal system: tetragonal. The calculation puts the density of states at the Fermi level at 4.6 states/eV/cell. The calculation puts the polymorph energy (0 for the lowest one) at 0 kJ/mol of formula units. Its space group is P4/mmm, No. 123.